LiTeAu2 | PBE | optimized geometry

Unit cell a=10.5522 b=10.5522 c=10.5522 alpha=16.64 beta=16.64 gamma=16.64
Fractional positions:
Au (0.9856, 0.9856, 0.9856)
Au (0.2403, 0.2403, 0.2403)
Li (0.5088, 0.5088, 0.5088)
Te (0.7654, 0.7654, 0.7654)

Computed properties:
Calculated density = 10.44 g cm⁻³
E = -11.88 eV/cell
Formation energy without anion corrections = -0.07 eV per atom
Space group = R3m (160)